[1]
Below is an optimized crystal structure of La4Nd3Al, with properties calculated at the PBE-GGA level.

Results
Its total DFT energy (no corrections) is -38.30 eV for the cell shown. The value obtained for the calculated formation energy is -1.6 kcal/mol of atoms.

a = 3.7373 Å, b = 3.7373 Å, c = 19.5726 Å
α = 90.00°, β = 90.00°, γ = 90.00°
Fractional coordinates of all 8 atoms:
1 La 0.0000 0.0000 0.0973
2 La 0.0000 0.0000 0.3665
3 La 0.0000 0.0000 0.6335
4 La 0.0000 0.0000 0.9027
5 Nd 0.5000 0.5000 0.2352
6 Nd 0.5000 0.5000 0.5000
7 Nd 0.5000 0.5000 0.7648
8 Al 0.5000 0.5000 0.0000

=====

[2]
Below is an optimized crystal structure of Ce3Pr4Ir2, with properties calculated at the PBE-GGA level.

Results
Its total DFT energy (no corrections) is -57.72 eV for the cell shown. The value obtained for the calculated formation energy is -7.9 kcal/mol of atoms.

a = 8.9198 Å, b = 8.9198 Å, c = 9.0677 Å
α = 117.12°, β = 117.12°, γ = 24.76°
Fractional coordinates of all 9 atoms:
1 Ce 0.0000 0.0000 0.0000
2 Ce 0.0733 0.0733 0.6762
3 Ce 0.9267 0.9267 0.3238
4 Pr 0.2307 0.2307 0.1471
5 Pr 0.3751 0.3751 0.6219
6 Pr 0.6249 0.6249 0.3781
7 Pr 0.7693 0.7693 0.8529
8 Ir 0.4151 0.4151 0.0968
9 Ir 0.5849 0.5849 0.9032

=====

[3]
Below is an optimized crystal structure of LiAc2SnPd6, with properties calculated at the PBE-GGA level.

Results
Its total DFT energy (no corrections) is -51.64 eV for the cell shown. The value obtained for the calculated formation energy is -14.6 kcal/mol of atoms.

a = 5.6684 Å, b = 6.7801 Å, c = 6.8785 Å
α = 81.59°, β = 65.67°, γ = 65.34°
Fractional coordinates of all 10 atoms:
1 Li 0.0000 0.0000 0.0000
2 Ac 0.4661 0.7913 0.2766
3 Ac 0.5339 0.2087 0.7234
4 Sn 0.0000 0.5000 0.5000
5 Pd 0.0053 0.7583 0.7481
6 Pd 0.1603 0.5924 0.0842
7 Pd 0.4887 0.7573 0.7492
8 Pd 0.5113 0.2427 0.2508
9 Pd 0.8397 0.4076 0.9158
10 Pd 0.9947 0.2417 0.2519

=====

[4]
Below is an optimized crystal structure of Li4Ge2Pb, with properties calculated at the PBE-GGA level.

Results
Its total DFT energy (no corrections) is -21.67 eV for the cell shown. The value obtained for the calculated formation energy is -3.5 kcal/mol of atoms.

a = 4.1588 Å, b = 4.1588 Å, c = 9.1546 Å
α = 90.00°, β = 90.00°, γ = 120.00°
Fractional coordinates of all 7 atoms:
1 Li 0.3333 0.6667 0.2730
2 Li 0.3333 0.6667 0.8552
3 Li 0.6667 0.3333 0.1448
4 Li 0.6667 0.3333 0.7270
5 Ge 0.3333 0.6667 0.5609
6 Ge 0.6667 0.3333 0.4391
7 Pb 0.0000 0.0000 0.0000